A plane-wave DFT calculation with PBE-GGA was carried out for Ti2Co2Pd after structural relaxation.

The energy above the most stable polymorph in this dataset is 0.811 eV/f.u. The energy relative to the elements is -1.230 eV per formula unit. As for the total energy: -72.848 eV/cell. As for the crystal system: tetragonal. The value obtained for the volume is 13.88 Å³/atom.

a b c (Å): 7.016 7.016 2.821
angles (deg): 90.00 90.00 90.00
Fractional positions:
Co 0.140 0.640 0.500
Co 0.640 0.860 0.500
Co 0.860 0.360 0.500
Co 0.360 0.140 0.500
Pd 0.000 0.000 0.000
Pd 0.500 0.500 0.000
Ti 0.347 0.847 0.000
Ti 0.847 0.653 0.000
Ti 0.653 0.153 0.000
Ti 0.153 0.347 0.000

***

A plane-wave DFT calculation with PBE-GGA was carried out for Ti11Co4Pd9 after structural relaxation.

The energy relative to the elements is -12.336 eV per formula unit. As for the total energy: -174.339 eV/cell. As for the crystal system: orthorhombic. The value obtained for the volume is 14.87 Å³/atom.

a b c (Å): 2.888 11.491 11.491
angles (deg): 110.62 90.00 90.00
Fractional positions:
Ti 0.000 0.581 0.924
Ti 0.000 0.419 0.076
Ti 0.000 0.924 0.581
Ti 0.000 0.076 0.419
Ti 0.000 0.634 0.366
Ti 0.000 0.366 0.634
Ti 0.000 0.848 0.152
Ti 0.000 0.152 0.848
Ti 0.000 0.000 0.000
Ti 0.000 0.692 0.692
Ti 0.000 0.308 0.308
Co 0.500 0.545 0.748
Co 0.500 0.455 0.252
Co 0.500 0.748 0.545
Co 0.500 0.252 0.455
Pd 0.500 0.639 0.148
Pd 0.500 0.361 0.852
Pd 0.500 0.148 0.639
Pd 0.500 0.852 0.361
Pd 0.500 0.779 0.927
Pd 0.500 0.221 0.073
Pd 0.500 0.927 0.779
Pd 0.500 0.073 0.221
Pd 0.500 0.500 0.500

***

A plane-wave DFT calculation with PBE-GGA was carried out for TiCo2Pd2 after structural relaxation.

The energy above the most stable polymorph in this dataset is 0.000 eV/f.u. The energy relative to the elements is -0.522 eV per formula unit. As for the total energy: -66.028 eV/cell. As for the crystal system: tetragonal. The value obtained for the volume is 13.98 Å³/atom.

a b c (Å): 6.069 6.069 3.794
angles (deg): 90.00 90.00 90.00
Fractional positions:
Co 0.368 0.868 0.000
Co 0.868 0.632 0.000
Co 0.632 0.132 0.000
Co 0.132 0.368 0.000
Pd 0.167 0.667 0.500
Pd 0.667 0.833 0.500
Pd 0.833 0.333 0.500
Pd 0.333 0.167 0.500
Ti 0.000 0.000 0.000
Ti 0.500 0.500 0.000

***

A plane-wave DFT calculation with PBE-GGA was carried out for Ti3CoPd after structural relaxation.

The energy above the most stable polymorph in this dataset is 2.422 eV/f.u. The energy relative to the elements is 0.763 eV per formula unit. As for the total energy: -35.220 eV/cell. As for the crystal system: cubic. The value obtained for the volume is 17.56 Å³/atom.

a b c (Å): 4.445 4.445 4.445
angles (deg): 90.00 90.00 90.00
Fractional positions:
Co 0.000 0.000 0.000
Pd 0.500 0.500 0.500
Ti 0.000 0.500 0.000
Ti 0.000 0.000 0.500
Ti 0.500 0.000 0.000

***

A plane-wave DFT calculation with PBE-GGA was carried out for Ti5CoPd after structural relaxation.

The energy relative to the elements is -0.138 eV per formula unit. As for the total energy: -103.822 eV/cell. As for the crystal system: monoclinic. The value obtained for the volume is 16.51 Å³/atom.

a b c (Å): 5.377 5.377 9.240
angles (deg): 71.87 71.87 69.13
Fractional positions:
Ti 0.021 0.530 0.159
Ti 0.227 0.523 0.511
Ti 0.530 0.021 0.659
Ti 0.029 0.971 0.250
Ti 0.477 0.773 0.989
Ti 0.523 0.227 0.011
Ti 0.971 0.029 0.750
Ti 0.470 0.979 0.341
Ti 0.773 0.477 0.489
Ti 0.979 0.470 0.841
Co 0.000 0.000 0.000
Co 0.000 0.000 0.500
Pd 0.549 0.451 0.250
Pd 0.451 0.549 0.750

***

A plane-wave DFT calculation with PBE-GGA was carried out for Ti7CoPd2 after structural relaxation.

The energy relative to the elements is 5.121 eV per formula unit. As for the total energy: -67.635 eV/cell. As for the crystal system: cubic. The value obtained for the volume is 18.08 Å³/atom.

a b c (Å): 6.347 6.347 6.347
angles (deg): 60.00 60.00 60.00
Fractional positions:
Ti 0.500 0.500 0.500
Ti 0.246 0.754 0.754
Ti 0.246 0.754 0.246
Ti 0.754 0.246 0.754
Ti 0.754 0.754 0.246
Ti 0.246 0.246 0.754
Ti 0.754 0.246 0.246
Co 0.000 0.000 0.000
Pd 0.250 0.250 0.250
Pd 0.750 0.750 0.750

***

A plane-wave DFT calculation with PBE-GGA was carried out for Ti12Co2Pd5 after structural relaxation.

The energy relative to the elements is -5.901 eV per formula unit. As for the total energy: -140.816 eV/cell. As for the crystal system: monoclinic. The value obtained for the volume is 16.06 Å³/atom.

a b c (Å): 8.486 6.896 6.667
angles (deg): 84.28 90.00 127.97
Fractional positions:
Ti 0.892 0.784 0.135
Ti 0.036 0.691 0.800
Ti 0.654 0.691 0.800
Ti 0.178 0.804 0.379
Ti 0.626 0.804 0.379
Ti 0.423 0.846 0.719
Ti 0.577 0.154 0.281
Ti 0.822 0.196 0.621
Ti 0.374 0.196 0.621
Ti 0.964 0.309 0.200
Ti 0.346 0.309 0.200
Ti 0.108 0.216 0.865
Co 0.753 0.000 0.000
Co 0.247 0.000 0.000
Pd 0.243 0.486 0.516
Pd 0.347 0.694 0.097
Pd 0.000 0.000 0.500
Pd 0.653 0.306 0.903
Pd 0.757 0.514 0.484

***

A plane-wave DFT calculation with PBE-GGA was carried out for Ti2CoPd after structural relaxation.

The energy relative to the elements is -1.807 eV per formula unit. As for the total energy: -29.895 eV/cell. As for the crystal system: tetragonal. The value obtained for the volume is 14.40 Å³/atom.

a b c (Å): 2.859 2.859 7.046
angles (deg): 90.00 90.00 90.00
Fractional positions:
Co 0.500 0.500 0.000
Pd 0.500 0.500 0.500
Ti 0.000 0.000 0.775
Ti 0.000 0.000 0.225